VASP calculation (PBE with a Hubbard U) on a relaxed structure of YVReO2.

Geometry as POSCAR:
```
YVReO2
1.0
-3.5003 -1.2347 -1.5418
3.0774 -2.7868 -4.7547
0.2493 -3.3883 2.1473
Y Re O V
1 1 2 1
direct
0.0000 0.0000 0.0000
0.0000 0.5000 0.0000
0.0000 0.0000 0.5000
0.5000 0.0000 0.0000
0.5000 0.5000 0.5000
```

## Properties
Final energy   -6.571 eV per atom
SG   P4/mmm
DOS at the Fermi energy   4.9 states/eV/cell